Compound: Eu3AgRu
Source: Alexandria
Functional: GGA-PBE
Structure: relaxed

Calculated values
D(E_F): 13.03 states/eV/cell
space group: Pm-3m, No. 221
crystal system: cubic
VASP energy: -8.531 eV/atom
energy relative to the elements: 0.06 eV per atom

The structure in POSCAR format:
```
Eu3AgRu
1.0
-2.070 -3.808 3.288
3.719 -3.553 -1.773
3.388 1.573 3.955
Eu Ru Ag
3 1 1
Cartesian
1.860 -1.776 -0.887
1.694 0.787 1.977
-1.035 -1.904 1.644
0.000 0.000 0.000
2.519 -2.894 2.735
```